[1]
{"formula": "BaCr3", "functional": "PBE-GGA", "state": "relaxed", "cell": [[-0.173, 1.622, -5.768], [-5.990, 0.074, 0.200], [0.125, 5.770, 1.619]], "species": ["Ba", "Ba", "Cr", "Cr", "Cr", "Cr", "Cr", "Cr"], "frac_coords": [[0.000, 0.000, 0.000], [0.500, 0.500, 0.500], [0.750, 0.500, 0.000], [0.250, 0.500, 0.000], [0.000, 0.750, 0.500], [0.000, 0.250, 0.500], [0.500, 0.000, 0.250], [0.500, 0.000, 0.750]], "vol_a3_per_atom": 26.92, "sg": "Pm-3n (223)", "formation_energy_ev_per_atom": 1.43}

[2]
{"formula": "PuHg2Ge", "functional": "PBE-GGA", "state": "relaxed", "cell": [[5.146, 0.000, 0.000], [2.573, 4.456, 0.000], [2.573, 1.485, 4.199]], "species": ["Ge", "Hg", "Hg", "Pu"], "frac_coords": [[0.000, 0.000, 0.000], [0.250, 0.250, 0.250], [0.750, 0.750, 0.750], [0.500, 0.500, 0.500]], "vol_a3_per_atom": 24.08, "sg": "Fm-3m (225)", "formation_energy_ev_per_atom": -0.02}

[3]
{"formula": "La2Ga4SiPd3", "functional": "PBE-GGA", "state": "relaxed", "cell": [[4.387, 0.000, 0.000], [0.000, 4.387, 0.000], [0.000, 0.000, 10.323]], "species": ["La", "La", "Ga", "Ga", "Ga", "Ga", "Si", "Pd", "Pd", "Pd"], "frac_coords": [[0.500, 0.000, 0.252], [0.000, 0.500, 0.748], [0.500, 0.500, 0.000], [0.000, 0.000, 0.000], [0.500, 0.000, 0.633], [0.000, 0.500, 0.367], [0.500, 0.500, 0.500], [0.000, 0.000, 0.500], [0.500, 0.000, 0.873], [0.000, 0.500, 0.127]], "total_energy_ev_per_atom": -5.05, "vol_a3_per_atom": 19.87, "sg": "P-4m2 (115)"}

[4]
{"formula": "AcCdSn2Pt4", "functional": "PBE-GGA", "state": "relaxed", "cell": [[4.600, 0.000, 0.000], [2.300, 3.983, 0.000], [2.300, 1.328, 9.288]], "species": ["Ac", "Cd", "Sn", "Sn", "Pt", "Pt", "Pt", "Pt"], "frac_coords": [[0.000, 0.000, 0.000], [0.500, 0.500, 0.500], [0.760, 0.760, 0.720], [0.240, 0.240, 0.280], [0.400, 0.400, 0.799], [0.866, 0.866, 0.403], [0.134, 0.134, 0.597], [0.600, 0.600, 0.201]], "vol_a3_per_atom": 21.27, "sg": "R-3m (166)", "formation_energy_ev_per_atom": -0.62}

[5]
{"formula": "Pm2Pr6Mg", "functional": "PBE-GGA", "state": "relaxed", "cell": [[6.186, -0.998, 0.104], [-1.685, 9.908, 6.135], [-3.065, 1.879, 11.213]], "species": ["Pm", "Pm", "Pm", "Pm", "Pr", "Pr", "Pr", "Pr", "Pr", "Pr", "Pr", "Pr", "Pr", "Pr", "Pr", "Pr", "Mg", "Mg"], "frac_coords": [[0.449, 0.830, 0.670], [0.051, 0.330, 0.170], [0.551, 0.170, 0.330], [0.949, 0.670, 0.830], [0.429, 0.652, 0.503], [0.071, 0.497, 0.348], [0.571, 0.348, 0.497], [0.929, 0.503, 0.652], [0.918, 0.918, 0.417], [0.582, 0.583, 0.082], [0.082, 0.082, 0.583], [0.418, 0.417, 0.918], [0.274, 0.848, 0.997], [0.226, 0.003, 0.152], [0.726, 0.152, 0.003], [0.774, 0.997, 0.848], [0.250, 0.250, 0.750], [0.750, 0.750, 0.250]], "vol_a3_per_atom": 34.37, "sg": "Ibam (72)", "formation_energy_ev_per_atom": 0.05}

[6]
{"formula": "CsBaHg4Bi2", "functional": "PBE-GGA", "state": "relaxed", "cell": [[4.828, 0.000, 0.000], [0.000, 4.828, 0.000], [0.000, 0.000, 13.894]], "species": ["Cs", "Ba", "Hg", "Hg", "Hg", "Hg", "Bi", "Bi"], "frac_coords": [[0.000, 0.000, 0.000], [0.000, 0.000, 0.500], [0.000, 0.500, 0.216], [0.500, 0.000, 0.784], [0.500, 0.000, 0.216], [0.000, 0.500, 0.784], [0.500, 0.500, 0.391], [0.500, 0.500, 0.609]], "vol_a3_per_atom": 40.48, "sg": "P4/mmm (123)", "formation_energy_ev_per_atom": -0.30}